[1]
## Mg3Sb5 (PBE)

Data for a relaxed structure of Mg3Sb5.

The calculation puts the density at 5.57 g/cm³. As for the total magnetization: 0.00 μB/atom. For the uncorrected formation energy, the calculation gives -22.6 meV/atom.

Cell lengths 6.588, 6.588, 4.803 Å; angles 90.00, 90.00, 102.96 degrees
Element x y z (fractional)
1 Mg 0.752 0.248 0.500
2 Sb 0.000 0.500 0.000
3 Sb 0.500 0.000 0.000
4 Mg 0.248 0.752 0.500
5 Mg 0.500 0.500 0.000
6 Sb 0.740 0.740 0.500
7 Sb 0.260 0.260 0.500
8 Sb 0.000 0.000 0.000

=====

[2]
## MgSb3 (PBE)

Data for a relaxed structure of MgSb3.

The calculation puts the density at 6.13 g/cm³. As for the offset from the most stable computed form: 0.165 eV per atom. As for the total magnetization: 0.00 μB/atom. For the uncorrected formation energy, the calculation gives 90.5 meV/atom.

Cell lengths 5.499, 5.499, 5.499 Å; angles 125.81, 125.81, 80.20 degrees
Element x y z (fractional)
1 Mg 0.000 0.000 0.000
2 Sb 0.250 0.750 0.500
3 Sb 0.500 0.500 0.000
4 Sb 0.750 0.250 0.500